Compound: TmGa6Cu12
Source: Alexandria via LeMat-Bulk
Functional: PBE-GGA
Structure: optimized geometry

Cell: 10.7909 10.7909 8.4085 Å, 90.00 90.00 120.00°
Space group R-3m (No. 166, hexagonal axes)
Asymmetric unit:
1 Tm 0.0000 0.0000 0.0000 (multiplicity 3)
2 Ga 0.0553 0.5276 0.2429 (multiplicity 18)
3 Cu 0.0000 0.3883 0.5000 (multiplicity 18)
4 Cu 0.0822 0.1645 0.2884 (multiplicity 18)

Properties
Total moment, Bohr magnetons per cell: 0.00
Volume, Å³ per atom: 14.9
N(E_F), states/eV/cell: 11.63
Energy of formation, meV/atom: -37

***

Compound: Tm4Ga12Cu
Source: Alexandria via LeMat-Bulk
Functional: PBE-GGA
Structure: optimized geometry

Cell: 8.571 8.571 8.571 Å, 90.00 90.00 90.00°
Space group Im-3m (No. 229)
Asymmetric unit:
1 Tm 0.250 0.250 0.250 (multiplicity 8)
2 Ga 0.000 0.000 0.291 (multiplicity 12)
3 Ga 0.000 0.250 0.500 (multiplicity 12)
4 Cu 0.000 0.000 0.000 (multiplicity 2)

Properties
Total moment, Bohr magnetons per cell: 0.00
Volume, Å³ per atom: 18.5
N(E_F), states/eV/cell: 8.70
Energy of formation, meV/atom: -489

***

Compound: TmGa2Cu3
Source: Alexandria via LeMat-Bulk
Functional: PBE-GGA
Structure: optimized geometry

Cell: 4.200 7.176 13.093 Å, 90.00 90.00 90.00°
Space group Immm (No. 71)
Asymmetric unit:
1 Tm 0.000 0.000 0.136 (multiplicity 4)
2 Ga 0.000 0.322 0.500 (multiplicity 4)
3 Ga 0.000 0.500 0.184 (multiplicity 4)
4 Cu 0.000 0.202 0.321 (multiplicity 8)
5 Cu 0.000 0.335 0.000 (multiplicity 4)

Properties
Total moment, Bohr magnetons per cell: 0.00
Volume, Å³ per atom: 16.4
N(E_F), states/eV/cell: 11.20
Energy of formation, meV/atom: -237
Polymorph energy (0 for the lowest one), eV per atom: 0.073

***

Compound: TmGa2Cu6
Source: Alexandria via LeMat-Bulk
Functional: PBE-GGA
Structure: optimized geometry

Cell: 3.344 6.808 12.232 Å, 90.00 90.00 90.00°
Space group Immm (No. 71)
Asymmetric unit:
1 Tm 0.000 0.000 0.000 (multiplicity 2)
2 Ga 0.000 0.500 0.141 (multiplicity 4)
3 Cu 0.000 0.171 0.500 (multiplicity 4)
4 Cu 0.000 0.316 0.320 (multiplicity 8)

Properties
Total moment, Bohr magnetons per cell: 0.00
Volume, Å³ per atom: 15.5
N(E_F), states/eV/cell: 7.37
Energy of formation, meV/atom: -52